# LaNdAl4Pd2 | OQMD | PBE | relaxed
# electronic total energy = -5.118 eV per atom
data_LaNdAl4Pd2
_chemical_formula_sum 'La2 Nd2 Al8 Pd4'
_symmetry_space_group_name_H-M 'A m m 2'
_symmetry_Int_Tables_number 38
_cell_length_a 7.0944
_cell_length_b 4.2569
_cell_length_c 11.0888
_cell_angle_alpha 90.00
_cell_angle_beta 90.00
_cell_angle_gamma 90.00
loop_
_symmetry_equiv_pos_as_xyz
'x,y,z'
'-x,-y,z'
'-x,y,z'
'x,-y,z'
'x,y+1/2,z+1/2'
'-x,-y+1/2,z+1/2'
'-x,y+1/2,z+1/2'
'x,-y+1/2,z+1/2'
loop_
_atom_site_label
_atom_site_type_symbol
_atom_site_fract_x
_atom_site_fract_y
_atom_site_fract_z
La1 La 0.0000 0.0000 0.0000
Nd1 Nd 0.5000 0.0000 0.8827
Al1 Al 0.1957 0.0000 0.2819
Al2 Al 0.3081 0.0000 0.6023
Pd1 Pd 0.0000 0.0000 0.7235
Pd2 Pd 0.5000 0.0000 0.1586